# 1
This record from the Alexandria database describes a PBEsol-optimized structure of RuBrCl2. The functional is meta-GGA SCAN.

Computed properties:
Space-group type: No. 65
VASP energy in eV per atom: -17.979
DOS at the Fermi energy in states/eV per cell: 1.743

Cell: 6.1339 6.1339 3.5012 Å, 90.00 90.00 132.16°
Closest atoms and distances in Å follow each position.
Sites, in units of the cell vectors:
Ru 0.0000 0.0000 0.0000  4 Cl 2.34, 2 Br 2.49
Br 0.5000 0.5000 0.0000  2 Ru 2.49
Cl 0.1383 0.8617 0.5000  2 Ru 2.34
Cl 0.8617 0.1383 0.5000  2 Ru 2.34


# 2
This record from the Alexandria database describes a PBEsol-optimized structure of RuBr2Cl. The functional is meta-GGA SCAN.

Computed properties:
Space-group type: No. 160
VASP energy in eV per atom: -20.529
DOS at the Fermi energy in states/eV per cell: 3.024

Cell: 8.3819 8.3819 8.3819 Å, 24.53 24.53 24.53°
Closest atoms and distances in Å follow each position.
Sites, in units of the cell vectors:
Ru 0.0000 0.0000 0.0000  3 Cl 2.39, 3 Br 2.45
Br 0.2784 0.2784 0.2784  3 Ru 2.45
Br 0.5006 0.5006 0.5006  9 Br 3.40-3.56, 3 Cl 3.52
Cl 0.7167 0.7167 0.7167  3 Ru 2.39


no.,E_form (uncorrected) (eV/atom)
1,-0.42
2,-0.10